Material: CaPa2VO8
Method: DFT, GGA+U
State: optimized geometry

abc: 4.930 4.931 7.013
angles: 90.48 89.51 89.16
Fractional coordinates of all 12 atoms:
O 0.815 0.184 0.203
Pa 0.502 0.498 0.755
O 0.680 0.679 0.500
Ca 0.000 0.000 0.500
Pa 0.498 0.502 0.245
O 0.702 0.702 0.000
O 0.196 0.805 0.216
O 0.804 0.195 0.784
O 0.298 0.298 0.000
V 0.000 0.000 0.000
O 0.320 0.321 0.500
O 0.185 0.816 0.797

Output
E: -0.32176 hartree per atom
density of states at the Fermi level: 0.00 states/eV/atom
density: 6635 kg/m3
symmetry: No. 12